# 1
VASP calculation (PBE) on an optimized crystal structure of MnAgSb2.

- magnetization (μB/cell) = 16.2
- uncorrected energy (eV per atom) = -4.646
- energy relative to the elements, uncorrected (meV/atom) = 420

```
data_MnAgSb2
_chemical_formula_sum 'Mn4 Ag4 Sb8'
_space_group_name_H-M_alt 'F -4 3 m'
_space_group_IT_number 216
_space_group_name_Hall 'F -4 2 3'
_cell_length_a 7.1218
_cell_length_b 7.1218
_cell_length_c 7.1218
_cell_angle_alpha 90.00
_cell_angle_beta 90.00
_cell_angle_gamma 90.00
loop_
_atom_site_label
_atom_site_type_symbol
_atom_site_fract_x
_atom_site_fract_y
_atom_site_fract_z
Mn1 Mn 0.0000 0.0000 0.0000
Ag1 Ag 0.2500 0.2500 0.7500
Sb1 Sb 0.0000 0.0000 0.5000
Sb2 Sb 0.2500 0.2500 0.2500
```

---

# 2
VASP calculation (PBE) on an optimized crystal structure of LiY2CoN.

- magnetization (μB/cell) = 0.6
- uncorrected energy (eV per atom) = -6.599
- energy relative to the elements, uncorrected (meV/atom) = -545

```
data_LiY2CoN
_chemical_formula_sum 'Li1 Y2 Co1 N1'
_space_group_name_H-M_alt 'P 4/m m m'
_space_group_IT_number 123
_space_group_name_Hall '-P 4 2'
_cell_length_a 4.9161
_cell_length_b 4.9161
_cell_length_c 3.6614
_cell_angle_alpha 90.00
_cell_angle_beta 90.00
_cell_angle_gamma 90.00
loop_
_atom_site_label
_atom_site_type_symbol
_atom_site_fract_x
_atom_site_fract_y
_atom_site_fract_z
Li1 Li 0.0000 0.0000 0.0000
Y1 Y 0.0000 0.5000 0.5000
Co1 Co 0.5000 0.5000 0.0000
N1 N 0.5000 0.5000 0.5000
```

---

# 3
VASP calculation (PBE) on an optimized crystal structure of ZrRuNO2.

- magnetization (μB/cell) = 4.9
- uncorrected energy (eV per atom) = -7.612
- energy relative to the elements, uncorrected (meV/atom) = -399

```
data_ZrRuNO2
_chemical_formula_sum 'Zr1 Ru1 N1 O2'
_space_group_name_H-M_alt 'P 4/m m m'
_space_group_IT_number 123
_space_group_name_Hall '-P 4 2'
_cell_length_a 4.0942
_cell_length_b 4.0942
_cell_length_c 4.3365
_cell_angle_alpha 90.00
_cell_angle_beta 90.00
_cell_angle_gamma 90.00
loop_
_atom_site_label
_atom_site_type_symbol
_atom_site_fract_x
_atom_site_fract_y
_atom_site_fract_z
Zr1 Zr 0.0000 0.0000 0.0000
Ru1 Ru 0.5000 0.5000 0.5000
N1 N 0.0000 0.0000 0.5000
O1 O 0.0000 0.5000 0.0000
```

---

# 4
VASP calculation (PBE) on an optimized crystal structure of La2Nd6Cd.

- distance to the lowest polymorph of the same formula (eV per atom) = 0.000
- magnetization (μB/cell) = 0.0
- uncorrected energy (eV per atom) = -4.412
- E_form (eV per atom) = -0.037

```
data_La2Nd6Cd
_chemical_formula_sum 'La4 Nd12 Cd2'
_space_group_name_H-M_alt 'P -1'
_space_group_IT_number 2
_cell_length_a 6.7922
_cell_length_b 9.4456
_cell_length_c 11.0587
_cell_angle_alpha 112.95
_cell_angle_beta 104.79
_cell_angle_gamma 96.92
loop_
_space_group_symop_operation_xyz
'x,y,z'
'-x,-y,-z'
loop_
_atom_site_label
_atom_site_type_symbol
_atom_site_fract_x
_atom_site_fract_y
_atom_site_fract_z
La1 La 0.0402 0.3129 0.2703
La2 La 0.2702 0.0428 0.7290
Nd1 Nd 0.0294 0.3092 0.9407
Nd2 Nd 0.0540 0.3052 0.6094
Nd3 Nd 0.2796 0.0295 0.0592
Nd4 Nd 0.2958 0.0280 0.3922
Nd5 Nd 0.4046 0.6352 0.6081
Nd6 Nd 0.4112 0.6315 0.9407
Cd1 Cd 0.3913 0.6410 0.2818
```

---

# 5
VASP calculation (PBE) on an optimized crystal structure of Er5CuRh6.

- magnetization (μB/cell) = 0.0
- uncorrected energy (eV per atom) = -6.718
- E_form (eV per atom) = -0.800

```
data_Er5CuRh6
_chemical_formula_sum 'Er10 Cu2 Rh12'
_space_group_name_H-M_alt 'I m m m'
_space_group_IT_number 71
_space_group_name_Hall '-I 2 2'
_cell_length_a 4.6387
_cell_length_b 6.8275
_cell_length_c 14.0020
_cell_angle_alpha 90.00
_cell_angle_beta 90.00
_cell_angle_gamma 90.00
loop_
_atom_site_label
_atom_site_type_symbol
_atom_site_fract_x
_atom_site_fract_y
_atom_site_fract_z
Er1 Er 0.0000 0.0000 0.0000
Er2 Er 0.0000 0.0000 0.3531
Er3 Er 0.0000 0.5000 0.3258
Cu1 Cu 0.0000 0.5000 0.0000
Rh1 Rh 0.0000 0.2492 0.1646
Rh2 Rh 0.0000 0.2653 0.5000
```

---

# 6
VASP calculation (PBE) on an optimized crystal structure of Mn3HBr.

- distance to the lowest polymorph of the same formula (eV per atom) = 0.000
- magnetization (μB/cell) = 11.0
- uncorrected energy (eV per atom) = -5.976

```
data_Mn3HBr
_chemical_formula_sum 'Mn3 H1 Br1'
_space_group_name_H-M_alt 'P m -3 m'
_space_group_IT_number 221
_space_group_name_Hall '-P 4 2 3'
_cell_length_a 4.0641
_cell_length_b 4.0641
_cell_length_c 4.0641
_cell_angle_alpha 90.00
_cell_angle_beta 90.00
_cell_angle_gamma 90.00
loop_
_atom_site_label
_atom_site_type_symbol
_atom_site_fract_x
_atom_site_fract_y
_atom_site_fract_z
Mn1 Mn 0.0000 0.0000 0.5000
H1 H 0.0000 0.0000 0.0000
Br1 Br 0.5000 0.5000 0.5000
```

---

# 7
VASP calculation (PBE) on an optimized crystal structure of HoScAu2.

- distance to the lowest polymorph of the same formula (eV per atom) = 0.016
- magnetization (μB/cell) = 0.0
- uncorrected energy (eV per atom) = -5.181
- E_form (eV per atom) = -0.815

```
data_HoScAu2
_chemical_formula_sum 'Ho4 Sc4 Au8'
_space_group_name_H-M_alt 'F m -3 m'
_space_group_IT_number 225
_space_group_name_Hall '-F 4 2 3'
_cell_length_a 7.0047
_cell_length_b 7.0047
_cell_length_c 7.0047
_cell_angle_alpha 90.00
_cell_angle_beta 90.00
_cell_angle_gamma 90.00
loop_
_atom_site_label
_atom_site_type_symbol
_atom_site_fract_x
_atom_site_fract_y
_atom_site_fract_z
Ho1 Ho 0.0000 0.0000 0.0000
Sc1 Sc 0.0000 0.0000 0.5000
Au1 Au 0.2500 0.2500 0.2500
```

---

# 8
VASP calculation (PBE) on an optimized crystal structure of CoH2Os.

- distance to the lowest polymorph of the same formula (eV per atom) = 0.000
- magnetization (μB/cell) = 0.0
- uncorrected energy (eV per atom) = -5.926

```
data_CoH2Os
_chemical_formula_sum 'Co4 H8 Os4'
_space_group_name_H-M_alt 'I -4 2 d'
_space_group_IT_number 122
_space_group_name_Hall 'I -4 2bw'
_cell_length_a 3.9281
_cell_length_b 3.9281
_cell_length_c 8.0331
_cell_angle_alpha 90.00
_cell_angle_beta 90.00
_cell_angle_gamma 90.00
loop_
_atom_site_label
_atom_site_type_symbol
_atom_site_fract_x
_atom_site_fract_y
_atom_site_fract_z
Co1 Co 0.0000 0.0000 0.0000
H1 H 0.2053 0.2500 0.1250
Os1 Os 0.0000 0.0000 0.5000
```